Entry 1:
The following is a DFT calculation (GGA-PBE) of a relaxed structure of CuPbSeBr2.

a b c (Å): 4.961 4.961 5.134
angles (deg): 90.00 90.00 90.00
Sites, in units of the cell vectors:
Cu1 0.000 0.000 0.000
Pb1 0.500 0.500 0.500
Se1 0.000 0.000 0.500
Br1 0.000 0.500 0.000
Br2 0.500 0.000 0.000

## Properties
Its magnetic moment is 0.00 Bohr magnetons per cell. The energy relative to the lowest polymorph listed for this composition is 0.000 eV/atom. As for the symmetry: P4/mmm (123). The total energy comes out at -3.17 eV per atom. The calculation puts the formation energy (no corrections) at -115 kJ/mol of formula units.

=====

Entry 2:
The following is a DFT calculation (GGA-PBE) of a relaxed structure of CuPbSe2Br.

a b c (Å): 4.847 4.847 5.200
angles (deg): 90.00 90.00 90.00
Sites, in units of the cell vectors:
Cu1 0.000 0.000 0.000
Pb1 0.500 0.500 0.500
Se1 0.000 0.500 0.000
Se2 0.500 0.000 0.000
Br1 0.000 0.000 0.500

## Properties
Its magnetic moment is 0.00 Bohr magnetons per cell. The energy relative to the lowest polymorph listed for this composition is 0.000 eV/atom. As for the symmetry: P4/mmm (123). The total energy comes out at -3.37 eV per atom. The calculation puts the formation energy (no corrections) at -40 kJ/mol of formula units.